#P
Computed, not measured: crystalline V2MoW6 at its relaxed geometry at the GGA-PBE level of DFT.

Summary:
- Fermi-level density of states (states/eV/f.u.) = 6.4
- space group = P-3m1, No. 164

Unit cell a=4.450 b=4.450 c=8.162 alpha=90.00 beta=90.00 gamma=60.00
Fractional coordinates of all 9 atoms:
V  0.333  0.333  0.946
V  0.667  0.667  0.054
Mo  0.000  0.000  0.500
W  0.000  0.000  0.837
W  0.333  0.333  0.273
W  0.667  0.667  0.727
W  0.333  0.333  0.613
W  0.667  0.667  0.387
W  0.000  0.000  0.163

#Q
Computed, not measured: crystalline V2MoW6 at its relaxed geometry at the GGA-PBE level of DFT.

Summary:
- Fermi-level density of states (states/eV/f.u.) = 4.8
- space group = Pnnm, No. 58

Unit cell a=4.481 b=7.878 c=8.001 alpha=90.00 beta=90.00 gamma=90.00
Fractional coordinates of all 18 atoms:
V  0.000  0.336  0.764
V  0.500  0.836  0.736
V  0.500  0.164  0.264
V  0.000  0.664  0.236
Mo  0.500  0.500  0.000
Mo  0.000  0.000  0.500
W  0.000  0.999  0.168
W  0.000  0.665  0.567
W  0.000  0.667  0.903
W  0.500  0.167  0.597
W  0.500  0.165  0.933
W  0.500  0.499  0.332
W  0.000  0.001  0.832
W  0.000  0.335  0.433
W  0.000  0.333  0.097
W  0.500  0.833  0.403
W  0.500  0.835  0.067
W  0.500  0.501  0.668

It is #P that is the most stable of them.

#P
Computed, not measured: crystalline V2Mo2W7 at its relaxed geometry at the GGA-PBE level of DFT.

Summary:
- Fermi-level density of states (states/eV/f.u.) = 9.0
- space group = C2/m, No. 12

Unit cell a=4.697 b=6.401 c=6.401 alpha=92.98 beta=75.16 gamma=75.16
Fractional coordinates of all 11 atoms:
V  0.500  0.767  0.233
V  0.500  0.233  0.767
Mo  0.634  0.807  0.807
Mo  0.366  0.193  0.193
W  0.167  0.592  0.079
W  0.833  0.921  0.408
W  0.833  0.408  0.921
W  0.167  0.079  0.592
W  0.206  0.586  0.586
W  0.000  0.000  0.000
W  0.794  0.414  0.414

#Q
Computed, not measured: crystalline V2Mo2W7 at its relaxed geometry at the GGA-PBE level of DFT.

Summary:
- Fermi-level density of states (states/eV/f.u.) = 10.3
- space group = C2/m, No. 12

Unit cell a=9.162 b=6.616 c=6.616 alpha=76.57 beta=133.81 gamma=133.81
Fractional coordinates of all 11 atoms:
V  0.500  0.309  0.691
V  0.500  0.691  0.309
Mo  0.254  0.755  0.755
Mo  0.746  0.245  0.245
W  0.234  0.174  0.827
W  0.766  0.173  0.826
W  0.766  0.826  0.173
W  0.234  0.827  0.174
W  0.724  0.501  0.501
W  0.000  0.000  0.000
W  0.276  0.499  0.499

It is #P that is the most stable of them.

#P
Computed, not measured: crystalline VMoW2 at its relaxed geometry at the GGA-PBE level of DFT.

Summary:
- Fermi-level density of states (states/eV/f.u.) = 1.5
- space group = P4/mmm, No. 123

Unit cell a=3.134 b=4.431 c=4.431 alpha=90.00 beta=90.00 gamma=90.00
Fractional coordinates of all 4 atoms:
Mo  0.500  0.000  0.000
W  0.000  0.000  0.500
W  0.000  0.500  0.000
V  0.500  0.500  0.500

#Q
Computed, not measured: crystalline VMoW2 at its relaxed geometry at the GGA-PBE level of DFT.

Summary:
- Fermi-level density of states (states/eV/f.u.) = 3.7
- space group = I-42d, No. 122

Unit cell a=7.059 b=7.059 c=5.661 alpha=51.43 beta=51.43 gamma=90.00
Fractional coordinates of all 8 atoms:
Mo  0.000  0.000  0.000
Mo  0.750  0.250  0.500
W  0.621  0.125  0.250
W  0.129  0.625  0.250
W  0.375  0.379  0.750
W  0.875  0.871  0.750
V  0.500  0.500  0.000
V  0.250  0.750  0.500

#R
Computed, not measured: crystalline VMoW2 at its relaxed geometry at the GGA-PBE level of DFT.

Summary:
- Fermi-level density of states (states/eV/f.u.) = 3.7
- space group = Amm2, No. 38

Unit cell a=3.065 b=3.051 c=7.071 alpha=102.46 beta=90.00 gamma=90.00
Fractional coordinates of all 4 atoms:
V  0.000  0.073  0.146
Mo  0.000  0.307  0.614
W  0.500  0.459  0.918
W  0.500  0.687  0.373

#S
Computed, not measured: crystalline VMoW2 at its relaxed geometry at the GGA-PBE level of DFT.

Summary:
- Fermi-level density of states (states/eV/f.u.) = 1.8
- space group = Immm, No. 71

Unit cell a=3.137 b=4.444 c=5.193 alpha=115.33 beta=107.58 gamma=90.00
Fractional coordinates of all 4 atoms:
V  0.000  0.000  0.000
Mo  0.500  0.500  0.000
W  0.250  0.750  0.500
W  0.750  0.250  0.500

It is #S that is the most stable of them.

#P
Computed, not measured: crystalline V7Mo2W3 at its relaxed geometry at the GGA-PBE level of DFT.

Summary:
- Fermi-level density of states (states/eV/f.u.) = 12.8
- space group = P2/m, No. 10

Unit cell a=2.985 b=4.516 c=13.279 alpha=90.21 beta=90.00 gamma=90.00
Fractional coordinates of all 12 atoms:
V  0.500  0.762  0.497
V  0.500  0.238  0.503
V  0.000  0.503  0.160
V  0.000  0.000  0.000
V  0.000  0.497  0.840
V  0.500  0.998  0.840
V  0.500  0.002  0.160
Mo  0.500  0.506  0.319
Mo  0.500  0.494  0.681
W  0.500  0.500  0.000
W  0.000  0.005  0.328
W  0.000  0.995  0.672

#Q
Computed, not measured: crystalline V7Mo2W3 at its relaxed geometry at the GGA-PBE level of DFT.

Summary:
- Fermi-level density of states (states/eV/f.u.) = 14.9
- space group = Cmmm, No. 65

Unit cell a=4.261 b=4.320 c=10.498 alpha=101.87 beta=90.00 gamma=90.00
Fractional coordinates of all 12 atoms:
V  0.000  0.426  0.851
V  0.000  0.719  0.438
V  0.000  0.000  0.000
V  0.000  0.574  0.149
V  0.500  0.074  0.149
V  0.500  0.926  0.851
V  0.000  0.281  0.562
Mo  0.000  0.853  0.705
Mo  0.000  0.147  0.295
W  0.500  0.500  0.000
W  0.500  0.650  0.300
W  0.500  0.350  0.700

It is #P that is the most stable of them.

#P
Computed, not measured: crystalline V4MoW2 at its relaxed geometry at the GGA-PBE level of DFT.

Summary:
- Fermi-level density of states (states/eV/f.u.) = 7.1
- space group = Cmmm, No. 65

Unit cell a=2.580 b=2.594 c=16.505 alpha=94.51 beta=90.00 gamma=90.00
Fractional coordinates of all 7 atoms:
V  0.500  0.646  0.291
V  0.000  0.715  0.430
V  0.500  0.354  0.709
V  0.000  0.285  0.570
Mo  0.000  0.500  0.000
W  0.500  0.072  0.144
W  0.500  0.928  0.856

#Q
Computed, not measured: crystalline V4MoW2 at its relaxed geometry at the GGA-PBE level of DFT.

Summary:
- Fermi-level density of states (states/eV/f.u.) = 7.1
- space group = I4/mmm, No. 139

Unit cell a=5.262 b=5.262 c=5.262 alpha=110.00 beta=109.21 gamma=109.21
Fractional coordinates of all 7 atoms:
V  0.500  0.000  0.000
V  0.500  0.500  0.500
V  0.000  0.000  0.500
V  0.000  0.500  0.000
Mo  0.000  0.000  0.000
W  0.500  0.500  0.000
W  0.500  0.000  0.500

It is #Q that is the most stable of them.

#P
Computed, not measured: crystalline V2Mo3W2 at its relaxed geometry at the GGA-PBE level of DFT.

Summary:
- Fermi-level density of states (states/eV/f.u.) = 4.2
- space group = P-1, No. 2

Unit cell a=3.124 b=5.186 c=6.957 alpha=97.34 beta=90.04 gamma=107.35
Fractional coordinates of all 7 atoms:
V  0.143  0.287  0.429
V  0.857  0.713  0.571
Mo  0.000  0.000  0.000
Mo  0.285  0.571  0.853
Mo  0.715  0.429  0.147
W  0.429  0.858  0.292
W  0.571  0.142  0.708

#Q
Computed, not measured: crystalline V2Mo3W2 at its relaxed geometry at the GGA-PBE level of DFT.

Summary:
- Fermi-level density of states (states/eV/f.u.) = 2.9
- space group = C2/m, No. 12

Unit cell a=4.415 b=5.189 c=7.651 alpha=42.40 beta=73.23 gamma=64.82
Fractional coordinates of all 7 atoms:
V  0.216  0.713  0.856
V  0.784  0.287  0.144
Mo  0.500  0.000  0.000
Mo  0.356  0.864  0.425
Mo  0.644  0.136  0.575
W  0.073  0.571  0.284
W  0.927  0.429  0.716

It is #Q that is the most stable of them.

#P
Computed, not measured: crystalline V3MoW6 at its relaxed geometry at the GGA-PBE level of DFT.

Summary:
- Fermi-level density of states (states/eV/f.u.) = 4.8
- space group = P-1, No. 2

Unit cell a=2.738 b=13.473 c=9.244 alpha=107.06 beta=95.57 gamma=70.23
Fractional coordinates of all 20 atoms:
V  0.749  0.324  0.377
V  0.251  0.676  0.623
V  0.751  0.725  0.377
V  0.249  0.275  0.623
V  0.752  0.024  0.877
V  0.248  0.976  0.123
Mo  0.750  0.626  0.871
Mo  0.250  0.374  0.129
W  0.747  0.127  0.376
W  0.253  0.873  0.624
W  0.749  0.223  0.873
W  0.251  0.777  0.127
W  0.748  0.827  0.875
W  0.252  0.173  0.125
W  0.749  0.527  0.378
W  0.251  0.473  0.622
W  0.754  0.423  0.873
W  0.246  0.577  0.127
W  0.750  0.924  0.373
W  0.250  0.076  0.627

#Q
Computed, not measured: crystalline V3MoW6 at its relaxed geometry at the GGA-PBE level of DFT.

Summary:
- Fermi-level density of states (states/eV/f.u.) = 8.7
- space group = P2_1/m, No. 11

Unit cell a=3.068 b=9.506 c=11.687 alpha=111.36 beta=90.00 gamma=90.00
Fractional coordinates of all 20 atoms:
V  0.750  0.419  0.901
V  0.250  0.581  0.099
V  0.750  0.637  0.517
V  0.250  0.363  0.483
V  0.750  0.072  0.090
V  0.250  0.928  0.910
Mo  0.750  0.062  0.744
Mo  0.250  0.938  0.256
W  0.750  0.479  0.665
W  0.250  0.521  0.335
W  0.750  0.782  0.051
W  0.250  0.218  0.949
W  0.750  0.379  0.141
W  0.250  0.621  0.859
W  0.750  0.744  0.307
W  0.250  0.256  0.693
W  0.750  0.113  0.477
W  0.250  0.887  0.523
W  0.750  0.784  0.728
W  0.250  0.216  0.272

It is #P that is the most stable of them.

#P
Computed, not measured: crystalline V2Mo3W3 at its relaxed geometry at the GGA-PBE level of DFT.

Summary:
- Fermi-level density of states (states/eV/f.u.) = 4.5
- space group = Immm, No. 71

Unit cell a=3.135 b=4.471 c=9.200 alpha=104.06 beta=99.81 gamma=90.00
Fractional coordinates of all 8 atoms:
V  0.751  0.251  0.502
V  0.249  0.749  0.498
Mo  0.628  0.628  0.257
Mo  0.372  0.372  0.743
Mo  0.500  0.000  0.000
W  0.128  0.128  0.257
W  0.000  0.500  0.000
W  0.872  0.872  0.743

#Q
Computed, not measured: crystalline V2Mo3W3 at its relaxed geometry at the GGA-PBE level of DFT.

Summary:
- Fermi-level density of states (states/eV/f.u.) = 6.4
- space group = Cmcm, No. 63

Unit cell a=4.301 b=5.249 c=12.381 alpha=90.00 beta=90.00 gamma=114.18
Fractional coordinates of all 16 atoms:
V  0.811  0.623  0.860
V  0.189  0.377  0.360
V  0.811  0.623  0.640
V  0.189  0.377  0.140
Mo  0.638  0.275  0.472
Mo  0.362  0.725  0.972
Mo  0.638  0.275  0.028
Mo  0.362  0.725  0.528
Mo  0.467  0.934  0.250
Mo  0.533  0.066  0.750
W  0.920  0.840  0.409
W  0.080  0.160  0.909
W  0.920  0.840  0.091
W  0.080  0.160  0.591
W  0.741  0.482  0.250
W  0.259  0.518  0.750

It is #P that is the most stable of them.